10
Lattice="7.524 0.000 0.000 0.000 4.488 0.000 -0.148 0.000 10.195" Properties=species:S:1:pos:R:3 comment="Tl3Se2 | the Alexandria database | PBE-GGA | relaxed" n_ef_per_ev_atom=0.70 sg="P2_1/m, No. 11" de_polymorph_mev_per_atom=24.4 m_tot_mub_per_cell=0.0 pbc="T T T"
Tl 0.220 1.122 3.280
Tl 2.122 1.122 0.537
Tl 2.850 1.122 6.596
Tl 4.526 3.366 3.599
Tl 5.254 3.366 9.658
Tl 7.156 3.366 6.915
Se 1.678 3.366 4.631
Se 2.345 3.366 8.837
Se 5.031 1.122 1.358
Se 5.698 1.122 5.564

=====

5
Lattice="-2.083 2.083 7.921 2.083 -2.083 7.921 2.083 2.083 -7.921" Properties=species:S:1:pos:R:3 comment="CdSb2Se2 | the Alexandria database | PBE-GGA | relaxed" n_ef_per_ev_atom=0.40 sg="I4/mmm, No. 139" de_polymorph_mev_per_atom=248.3 m_tot_mub_per_cell=0.0 pbc="T T T"
Cd 0.000 0.000 0.000
Sb 2.083 0.000 3.961
Sb 0.000 2.083 3.961
Se 0.000 0.000 6.558
Se 0.000 0.000 9.284

=====

14
Lattice="5.864 -3.079 0.000 5.864 3.079 0.000 -3.227 0.000 5.242" Properties=species:S:1:pos:R:3 comment="NaW2N4 | the Alexandria database | PBE-GGA | relaxed" n_ef_per_ev_atom=0.23 final_energy_ev_per_atom=-8.8401 sg="Cm, No. 8" m_tot_mub_per_cell=0.0 pbc="T T T"
Na 0.000 0.000 0.000
Na 0.506 0.000 3.933
W 3.607 1.362 2.227
W 3.607 -1.362 2.227
W 6.632 0.000 2.076
W 4.835 0.000 4.999
N 2.615 0.000 3.183
N 4.022 0.000 0.911
N 5.196 1.262 3.209
N 7.059 1.337 0.738
N 5.196 -1.262 3.209
N 7.059 -1.337 0.738
N 9.599 0.000 0.823
N 8.274 0.000 2.972